Density functional theory data (PBE+U) for a geometry-optimized Mn2HgPtF structure.

```
Mn2HgPtF
1.0
5.142 0.000 0.000
0.000 5.142 0.000
0.000 0.000 4.308
Mn Hg Pt F
2 1 1 1
direct
0.000 0.500 0.000
0.500 0.000 0.000
0.000 0.000 0.500
0.500 0.500 0.000
0.500 0.500 0.500
```

Properties
energy = -23.1 eV/f.u.